# 1
Computed, not measured: crystalline Pm2Dy8Y3 at its relaxed geometry at the PBE level of DFT.

Summary:
Volume in Å³ per cell: 877.20
Size of the total moment in Bohr magnetons per cell: 0.0
Formation enthalpy at 0 K in eV/atom: 0.239

Lattice parameters (Å, degrees): 20.6482 7.6152 5.5788 90.00 90.02 90.00
With the nearest neighbours (Å) after each atom.
Space group C2/m (No. 12)
Unique sites:
Pm (0.2412, 0.0000, 0.4993)  8 Dy 3.41-3.60
Dy (0.1074, 0.2879, 0.5003)  1 Y 3.12, 3 Dy 3.23-3.43
Dy (0.1309, 0.0000, 0.9999)  3 Y 3.47-3.88, 6 Dy 3.58-3.87, 2 Pm 3.60
Dy (0.1637, 0.5000, 0.0006)  2 Pm 3.41, 4 Dy 3.43, 2 Y 3.76
Y (0.0000, 0.0000, 0.5000)  4 Dy 3.12
Y (0.0000, 0.2853, 0.0000)  3 Y 3.27-3.54, 6 Dy 3.47-3.56

***

# 2
Computed, not measured: crystalline PmDy5Y7 at its relaxed geometry at the PBE level of DFT.

Summary:
Volume in Å³ per cell: 867.56
Size of the total moment in Bohr magnetons per cell: 0.0
Formation enthalpy at 0 K in eV/atom: 0.239

Lattice parameters (Å, degrees): 6.6911 11.1531 11.6254 90.00 90.00 90.00
With the nearest neighbours (Å) after each atom.
Space group Imm2 (No. 44)
Unique sites:
Pm (0.0000, 0.0000, 0.0000)  7 Y 3.52-3.89, 4 Dy 3.75
Dy (0.0000, 0.5000, 0.1893)  6 Y 3.35-3.50, 4 Dy 3.40
Dy (0.2326, 0.2289, 0.1952)  2 Dy 3.11-3.40, 3 Y 3.12-3.47
Y (0.0000, 0.0000, 0.3874)  9 Y 3.60-4.02, 4 Dy 3.73
Y (0.0000, 0.0000, 0.6969)  6 Dy 3.35-3.51, 1 Pm 3.52, 1 Y 3.60
Y (0.0000, 0.3278, 0.9434)  5 Dy 3.44-3.49, 4 Y 3.46-3.84, 1 Pm 3.71
Y (0.0000, 0.3314, 0.4432)  5 Dy 3.47-3.50, 5 Y 3.49-3.79
Y (0.0000, 0.5000, 0.6957)  4 Dy 3.12, 4 Y 3.46-3.49

***

# 3
Computed, not measured: crystalline Pm2DyY at its relaxed geometry at the PBE level of DFT.

Summary:
Volume in Å³ per cell: 132.42
Size of the total moment in Bohr magnetons per cell: 0.0
E above lowest polymorph in meV/atom: 6
Formation enthalpy at 0 K in eV/atom: 0.018

Lattice parameters (Å, degrees): 3.6074 3.6074 10.1763 90.00 90.00 90.00
With the nearest neighbours (Å) after each atom.
Space group P4/mmm (No. 123)
Unique sites:
Pm (0.0000, 0.0000, 0.2487)  4 Dy 3.59, 4 Pm 3.61, 4 Y 3.61
Dy (0.5000, 0.5000, 0.0000)  8 Pm 3.59, 4 Dy 3.61
Y (0.5000, 0.5000, 0.5000)  4 Y 3.61, 8 Pm 3.61

***

# 4
Computed, not measured: crystalline Pm4Dy3Y2 at its relaxed geometry at the PBE level of DFT.

Summary:
Volume in Å³ per cell: 1184.67
Size of the total moment in Bohr magnetons per cell: 0.0
E above lowest polymorph in meV/atom: 0
Formation enthalpy at 0 K in eV/atom: 0.051

Lattice parameters (Å, degrees): 9.8459 17.0001 7.0777 90.00 90.00 90.00
With the nearest neighbours (Å) after each atom.
Space group Cccm (No. 66)
Unique sites:
Pm (0.1511, 0.1731, 0.0000)  2 Pm 3.23-3.26, 3 Y 3.31-3.56, 2 Dy 3.52
Pm (0.1649, 0.4845, 0.0000)  4 Pm 3.23-3.58, 1 Y 3.33, 2 Dy 3.56
Dy (0.0000, 0.0000, 0.2500)  2 Dy 3.54, 4 Y 3.72, 8 Pm 3.74-3.75
Dy (0.0000, 0.3296, 0.2500)  6 Pm 3.52-3.86, 2 Dy 3.54, 4 Y 3.58-3.84
Y (0.1844, 0.1599, 0.5000)  4 Pm 3.31-3.56, 1 Y 3.33, 2 Dy 3.58

***

# 5
Computed, not measured: crystalline Pm3Dy2Y4 at its relaxed geometry at the PBE level of DFT.

Summary:
Volume in Å³ per cell: 588.91
Size of the total moment in Bohr magnetons per cell: 0.0
E above lowest polymorph in meV/atom: 0
Formation enthalpy at 0 K in eV/atom: 0.017

Lattice parameters (Å, degrees): 11.9023 3.5916 14.7974 90.00 111.41 90.00
With the nearest neighbours (Å) after each atom.
Space group C2/m (No. 12)
Unique sites:
Pm (0.0000, 0.0000, 0.0000)  4 Dy 3.57, 6 Y 3.59, 2 Pm 3.59
Pm (0.1104, 0.0000, 0.4425)  5 Y 3.57-3.62, 2 Dy 3.58, 5 Pm 3.59-3.61
Dy (0.0544, 0.5000, 0.2208)  4 Pm 3.57-3.58, 6 Y 3.58-3.60, 2 Dy 3.59
Y (0.1680, 0.5000, 0.6674)  5 Pm 3.57-3.62, 4 Y 3.58-3.59, 3 Dy 3.59-3.60
Y (0.2221, 0.0000, 0.8886)  3 Dy 3.58, 6 Y 3.58-3.60, 3 Pm 3.59

***

# 6
Computed, not measured: crystalline Pm3Dy7Y2 at its relaxed geometry at the PBE level of DFT.

Summary:
Volume in Å³ per cell: 392.31
Size of the total moment in Bohr magnetons per cell: 0.0
E above lowest polymorph in meV/atom: 5
Formation enthalpy at 0 K in eV/atom: 0.088

Lattice parameters (Å, degrees): 5.8393 3.5682 18.8560 90.00 93.07 90.00
With the nearest neighbours (Å) after each atom.
Space group P2/m (No. 10)
Unique sites:
Pm (0.0000, 0.0000, 0.0000)  8 Dy 3.37-3.42, 2 Pm 3.57
Pm (0.2790, 0.5000, 0.6324)  2 Pm 3.57, 6 Dy 3.66-3.89, 4 Y 3.69-3.70
Dy (0.1888, 0.5000, 0.1431)  7 Dy 3.33-3.57, 2 Y 3.34, 2 Pm 3.37
Dy (0.2431, 0.0000, 0.4630)  1 Y 3.20, 4 Dy 3.23-3.57
Dy (0.3089, 0.0000, 0.8239)  6 Dy 3.46-3.57, 2 Y 3.65-3.67, 1 Pm 3.86
Dy (0.5000, 0.5000, 0.0000)  4 Dy 3.33-3.57, 4 Pm 3.42
Y (0.2096, 0.0000, 0.2931)  3 Dy 3.20-3.34, 2 Y 3.57

***

# 7
Computed, not measured: crystalline Pm2DyY at its relaxed geometry at the PBE level of DFT.

Summary:
Volume in Å³ per cell: 268.12
Size of the total moment in Bohr magnetons per cell: 0.0
E above lowest polymorph in meV/atom: 15
Formation enthalpy at 0 K in eV/atom: 0.027

Lattice parameters (Å, degrees): 3.6641 11.5519 6.3344 90.00 90.00 90.00
With the nearest neighbours (Å) after each atom.
Space group Imm2 (No. 44)
Unique sites:
Pm (0.0000, 0.2492, 0.0000)  3 Y 3.57-3.59, 3 Dy 3.58, 6 Pm 3.66
Dy (0.0000, 0.5000, 0.3316)  6 Pm 3.58, 4 Y 3.66, 2 Dy 3.66
Y (0.0000, 0.0000, 0.3323)  6 Pm 3.57-3.59, 4 Dy 3.66, 2 Y 3.66

***

# 8
Computed, not measured: crystalline PmDy6Y6 at its relaxed geometry at the PBE level of DFT.

Summary:
Volume in Å³ per cell: 441.73
Size of the total moment in Bohr magnetons per cell: 3.6
Formation enthalpy at 0 K in eV/atom: 0.297

Lattice parameters (Å, degrees): 6.6899 6.6899 11.3959 90.00 90.00 120.00
With the nearest neighbours (Å) after each atom.
Space group P6/mmm (No. 191)
Unique sites:
Pm (0.0000, 0.0000, 0.0000)  8 Dy 3.86-3.97
Dy (0.0000, 0.0000, 0.3484)  1 Dy 3.45, 6 Y 3.55
Dy (0.3333, 0.6667, 0.0000)  6 Y 3.39
Dy (0.3333, 0.6667, 0.5000)  6 Y 3.50, 3 Dy 3.86
Y (0.0000, 0.5000, 0.2443)  4 Y 3.34, 6 Dy 3.39-3.55

***

# 9
Computed, not measured: crystalline Pm2Dy12Y at its relaxed geometry at the PBE level of DFT.

Summary:
Volume in Å³ per cell: 1943.26
Size of the total moment in Bohr magnetons per cell: 0.0
Formation enthalpy at 0 K in eV/atom: 0.113

Lattice parameters (Å, degrees): 7.1000 11.2233 24.4503 90.00 94.13 90.00
With the nearest neighbours (Å) after each atom.
Space group C2/m (No. 12)
Unique sites:
Pm (0.0676, 0.0000, 0.2721)  2 Pm 3.54-3.56, 10 Dy 3.61-3.77
Pm (0.0688, 0.5000, 0.2722)  2 Pm 3.54-3.56, 10 Dy 3.61-3.77
Dy (0.0183, 0.2500, 0.0738)  9 Dy 3.55-3.66, 4 Y 3.77-3.78
Dy (0.1120, 0.2505, 0.4450)  10 Dy 3.21-3.55
Dy (0.1419, 0.0000, 0.5727)  8 Dy 3.35-3.67
Dy (0.1428, 0.5000, 0.5720)  8 Dy 3.34-3.67
Dy (0.1674, 0.2504, 0.6694)  5 Dy 3.17-3.55
Dy (0.1998, 0.2495, 0.7996)  5 Dy 3.17-3.55
Dy (0.2158, 0.0000, 0.8644)  4 Dy 3.21-3.55, 1 Y 3.32
Dy (0.2156, 0.5000, 0.8636)  4 Dy 3.22-3.55, 1 Y 3.32
Y (0.2501, 0.0000, 0.0003)  2 Dy 3.32, 2 Y 3.55

***

# 10
Computed, not measured: crystalline Pm2Dy2Y at its relaxed geometry at the PBE level of DFT.

Summary:
Volume in Å³ per cell: 163.93
Size of the total moment in Bohr magnetons per cell: 0.0
E above lowest polymorph in meV/atom: 0
Formation enthalpy at 0 K in eV/atom: 0.018

Lattice parameters (Å, degrees): 3.6032 3.6032 14.5813 90.00 90.00 120.00
With the nearest neighbours (Å) after each atom.
Space group P-3m1 (No. 164)
Unique sites:
Pm (0.3333, 0.6667, 0.3972)  3 Dy 3.58, 9 Pm 3.60-3.65
Dy (0.3333, 0.6667, 0.8026)  3 Y 3.55, 3 Pm 3.58, 6 Dy 3.60
Y (0.0000, 0.0000, 0.0000)  6 Dy 3.55, 6 Y 3.60

***

# 11
Computed, not measured: crystalline Pm3Dy4Y5 at its relaxed geometry at the PBE level of DFT.

Summary:
Volume in Å³ per cell: 389.28
Size of the total moment in Bohr magnetons per cell: 0.0
E above lowest polymorph in meV/atom: 0
Formation enthalpy at 0 K in eV/atom: 0.018

Lattice parameters (Å, degrees): 6.1987 7.1627 8.7677 90.04 90.11 90.19
With the nearest neighbours (Å) after each atom.
Space group P-1 (No. 2)
Unique sites:
Pm (0.0000, 0.0000, 0.0000)  8 Y 3.57-3.59, 2 Dy 3.59, 2 Pm 3.59
Pm (0.1658, 0.7482, 0.6664)  6 Dy 3.56-3.60, 5 Y 3.57-3.59, 1 Pm 3.59
Dy (0.1673, 0.2512, 0.6668)  4 Pm 3.56-3.60, 3 Dy 3.56-3.59, 5 Y 3.57-3.59
Dy (0.3338, 0.5004, 0.3345)  4 Dy 3.56-3.59, 3 Pm 3.57-3.58, 5 Y 3.58-3.59
Y (0.0000, 0.5000, 0.0000)  4 Pm 3.57-3.58, 4 Y 3.58, 4 Dy 3.58-3.59
Y (0.3330, 0.0002, 0.3336)  3 Y 3.57-3.59, 4 Pm 3.58-3.59, 5 Dy 3.58-3.59
Y (0.4990, 0.2508, 0.9999)  3 Dy 3.57-3.59, 6 Y 3.57-3.59, 3 Pm 3.57-3.59

***

# 12
Computed, not measured: crystalline Pm7Dy3Y2 at its relaxed geometry at the PBE level of DFT.

Summary:
Volume in Å³ per cell: 402.29
Size of the total moment in Bohr magnetons per cell: 0.0
E above lowest polymorph in meV/atom: 0
Formation enthalpy at 0 K in eV/atom: 0.071

Lattice parameters (Å, degrees): 6.4500 3.5636 17.5970 90.00 95.95 90.00
With the nearest neighbours (Å) after each atom.
Space group P2/m (No. 10)
Unique sites:
Pm (0.0000, 0.0000, 0.0000)  8 Pm 3.56-3.66, 4 Dy 3.68
Pm (0.2249, 0.5000, 0.1704)  1 Y 3.50, 8 Pm 3.56-3.69, 3 Dy 3.64-3.66
Pm (0.2579, 0.5000, 0.4959)  2 Pm 3.11-3.34, 2 Y 3.39-3.45
Pm (0.2758, 0.0000, 0.8336)  2 Y 3.54, 7 Pm 3.56-3.69, 3 Dy 3.60-3.68
Dy (0.4524, 0.0000, 0.3405)  2 Dy 3.56, 7 Pm 3.60-3.72, 4 Y 3.64-3.74
Dy (0.5000, 0.5000, 0.0000)  2 Dy 3.56, 10 Pm 3.60-3.68
Y (0.0591, 0.5000, 0.6705)  5 Pm 3.39-3.54, 2 Y 3.56, 4 Dy 3.64-3.74

***

# 13
Computed, not measured: crystalline Pm5Dy4Y2 at its relaxed geometry at the PBE level of DFT.

Summary:
Volume in Å³ per cell: 729.66
Size of the total moment in Bohr magnetons per cell: 0.0
Formation enthalpy at 0 K in eV/atom: 0.124

Lattice parameters (Å, degrees): 11.1655 7.3396 9.3004 90.00 106.80 90.00
With the nearest neighbours (Å) after each atom.
Space group C2/m (No. 12)
Unique sites:
Pm (0.0000, 0.0000, 0.0000)  4 Pm 3.15, 2 Dy 3.38
Pm (0.0677, 0.2806, 0.2671)  2 Pm 3.15-3.22, 1 Y 3.47, 2 Dy 3.48-3.50
Dy (0.1641, 0.5000, 0.6161)  2 Dy 3.46-3.68, 3 Y 3.47-3.68, 6 Pm 3.48-3.54
Dy (0.1962, 0.5000, 0.9973)  5 Pm 3.38-3.62, 1 Dy 3.46, 1 Y 3.49
Y (0.1451, 0.0000, 0.6200)  1 Y 3.36, 6 Pm 3.47-3.76, 4 Dy 3.47-3.68

***

# 14
Computed, not measured: crystalline PmDy2Y2 at its relaxed geometry at the PBE level of DFT.

Summary:
Volume in Å³ per cell: 1467.63
Size of the total moment in Bohr magnetons per cell: 0.0
E above lowest polymorph in meV/atom: 410
Formation enthalpy at 0 K in eV/atom: 0.495

Lattice parameters (Å, degrees): 5.5643 11.6695 22.6024 90.00 90.00 90.00
With the nearest neighbours (Å) after each atom.
Space group Fddd (No. 70, origin choice 2)
Unique sites:
Pm (0.1250, 0.1250, 0.1250)  4 Dy 3.25, 4 Y 3.40
Dy (0.0000, 0.0000, 0.0000)  2 Dy 3.23, 2 Pm 3.25, 2 Y 3.55
Y (0.1250, 0.2920, 0.6250)  2 Y 3.39, 2 Pm 3.40, 4 Dy 3.55-3.79

***

# 15
Computed, not measured: crystalline Pm3Dy4Y8 at its relaxed geometry at the PBE level of DFT.

Summary:
Volume in Å³ per cell: 1014.20
Size of the total moment in Bohr magnetons per cell: 0.0
Formation enthalpy at 0 K in eV/atom: 0.392

Lattice parameters (Å, degrees): 13.4809 12.8480 6.7693 90.00 120.12 90.00
With the nearest neighbours (Å) after each atom.
Space group C2/m (No. 12)
Unique sites:
Pm (0.0000, 0.0000, 0.0000)  6 Y 3.19-3.27
Pm (0.2500, 0.2500, 0.5000)  4 Y 3.22-3.37, 2 Dy 3.38
Dy (0.0000, 0.5000, 0.0000)  6 Y 3.23-3.50, 2 Dy 3.38
Dy (0.0000, 0.5000, 0.5000)  2 Dy 3.38, 4 Y 3.49-3.61
Dy (0.2500, 0.2500, 0.0000)  4 Y 3.21-3.37, 2 Pm 3.38
Y (0.0000, 0.1429, 0.5000)  7 Y 3.63-3.73, 4 Pm 3.64-3.85, 2 Dy 3.64
Y (0.0000, 0.2483, 0.0000)  3 Pm 3.19-3.37, 3 Dy 3.23-3.37
Y (0.2321, 0.0000, 0.4997)  3 Pm 3.22-3.26, 2 Y 3.25-3.52, 1 Dy 3.50
Y (0.2389, 0.0000, 0.9865)  4 Dy 3.21-3.49, 2 Y 3.25-3.52, 1 Pm 3.27

***

# 16
Computed, not measured: crystalline PmDy4Y at its relaxed geometry at the PBE level of DFT.

Summary:
Volume in Å³ per cell: 809.65
Size of the total moment in Bohr magnetons per cell: 3.2
E above lowest polymorph in meV/atom: 239
Formation enthalpy at 0 K in eV/atom: 0.257

Lattice parameters (Å, degrees): 9.3204 9.3204 9.3204 90.00 90.00 90.00
With the nearest neighbours (Å) after each atom.
Space group F-43m (No. 216)
Unique sites:
Pm (0.0000, 0.0000, 0.0000)  12 Dy 3.86, 4 Y 4.04
Dy (0.1248, 0.1248, 0.3752)  6 Dy 3.29-3.30
Y (0.2500, 0.2500, 0.7500)  12 Dy 3.86, 4 Pm 4.04

***

# 17
Computed, not measured: crystalline Pm10Dy4Y at its relaxed geometry at the PBE level of DFT.

Summary:
Volume in Å³ per cell: 1084.24
Size of the total moment in Bohr magnetons per cell: 0.0
Formation enthalpy at 0 K in eV/atom: 0.431

Lattice parameters (Å, degrees): 9.9624 9.9624 10.9243 90.00 90.00 90.00
With the nearest neighbours (Å) after each atom.
Space group I4/m (No. 87)
Unique sites:
Pm (0.0000, 0.5000, 0.2500)  4 Pm 3.11
Pm (0.1198, 0.7738, 0.1669)  2 Pm 3.11-3.20, 1 Y 3.14
Dy (0.0576, 0.7163, 0.5000)  8 Pm 3.53-3.89
Y (0.0000, 0.0000, 0.0000)  8 Pm 3.14

***

# 18
Computed, not measured: crystalline Pm2Dy6Y at its relaxed geometry at the PBE level of DFT.

Summary:
Volume in Å³ per cell: 600.70
Size of the total moment in Bohr magnetons per cell: 0.0
E above lowest polymorph in meV/atom: 90
Formation enthalpy at 0 K in eV/atom: 0.199

Lattice parameters (Å, degrees): 3.4539 10.0045 17.3842 90.00 90.00 90.00
With the nearest neighbours (Å) after each atom.
Space group Immm (No. 71)
Unique sites:
Pm (0.0000, 0.0000, 0.1683)  8 Dy 3.45-3.55, 2 Pm 3.45
Dy (0.0000, 0.1894, 0.0000)  7 Dy 3.45-3.79, 2 Pm 3.49, 2 Y 3.55
Dy (0.0000, 0.1895, 0.3341)  3 Pm 3.45-3.55, 1 Y 3.45, 7 Dy 3.45-3.79
Y (0.0000, 0.0000, 0.5000)  8 Dy 3.45-3.55, 2 Y 3.45

***

# 19
Computed, not measured: crystalline Pm2Dy2Y5 at its relaxed geometry at the PBE level of DFT.

Summary:
Volume in Å³ per cell: 1203.51
Size of the total moment in Bohr magnetons per cell: 0.0
E above lowest polymorph in meV/atom: 206
Formation enthalpy at 0 K in eV/atom: 0.226

Lattice parameters (Å, degrees): 14.9952 11.7664 6.8211 90.00 90.00 90.00
With the nearest neighbours (Å) after each atom.
Space group Ima2 (No. 46)
Unique sites:
Pm (0.1278, 0.0043, 0.0000)  4 Y 3.33-3.62, 2 Dy 3.55-3.61, 1 Pm 3.66
Dy (0.0000, 0.0000, 0.5520)  4 Y 3.27-3.61, 2 Pm 3.61
Dy (0.2500, 0.5127, 0.9449)  4 Y 3.38-3.70, 2 Pm 3.55
Y (0.0526, 0.2431, 0.3523)  4 Y 3.19-3.41, 1 Dy 3.27, 1 Pm 3.33
Y (0.1433, 0.7364, 0.1725)  4 Y 3.19-3.43, 1 Pm 3.37, 1 Dy 3.45
Y (0.2500, 0.2477, 0.6524)  6 Y 3.26-3.60, 1 Dy 3.38, 2 Pm 3.60

***

# 20
Computed, not measured: crystalline Pm2Dy3Y8 at its relaxed geometry at the PBE level of DFT.

Summary:
Volume in Å³ per cell: 860.01
Size of the total moment in Bohr magnetons per cell: 0.0
E above lowest polymorph in meV/atom: 0
Formation enthalpy at 0 K in eV/atom: 0.144

Lattice parameters (Å, degrees): 11.7666 20.7385 3.5243 90.00 90.00 90.00
With the nearest neighbours (Å) after each atom.
Space group Pbam (No. 55)
Unique sites:
Pm (0.1791, 0.0986, 0.0000)  3 Y 3.29-3.49, 4 Dy 3.42-3.44, 2 Pm 3.52
Dy (0.0000, 0.0000, 0.5000)  4 Y 3.35-3.60, 4 Pm 3.42, 2 Dy 3.52
Dy (0.1457, 0.7009, 0.5000)  3 Y 3.10-3.42, 2 Pm 3.44
Y (0.0456, 0.5717, 0.0000)  5 Y 3.16-3.52, 1 Pm 3.29, 2 Dy 3.42
Y (0.0545, 0.8414, 0.5000)  2 Dy 3.10-3.35
Y (0.1286, 0.2862, 0.0000)  7 Y 3.52-3.90, 4 Dy 3.64-3.69, 1 Pm 3.93
Y (0.2083, 0.4475, 0.5000)  9 Y 3.49-3.90, 1 Dy 3.60, 2 Pm 3.83